Record 1
First-principles (PBE) data for a relaxed Ho2Cu3Ni crystal, as listed in Alexandria.

abc: 3.4791 4.2630 7.1973
angles: 90.00 90.00 90.00
Positions (direct):
Ho (0.0000, 0.5000, 0.0120)
Ho (0.0000, 0.0000, 0.4915)
Cu (0.5000, 0.0000, 0.8316)
Cu (0.5000, 0.0000, 0.1681)
Cu (0.5000, 0.5000, 0.6665)
Ni (0.5000, 0.5000, 0.3304)

Output
Its space group is No. 25. The formation energy from the elements is -0.30 eV per atom.


Record 2
First-principles (PBE) data for a relaxed HoCuNi crystal, as listed in Alexandria.

abc: 3.5301 4.1417 4.1417
angles: 120.00 90.00 90.00
Positions (direct):
Ni (0.1666, 0.3333, 0.6667)
Ho (0.6667, 0.6667, 0.3333)
Cu (0.1667, 0.0000, 0.0000)

Output
Its space group is No. 187. The formation energy from the elements is -0.33 eV per atom.


Record 3
First-principles (PBE) data for a relaxed Ho2Cu4Ni5 crystal, as listed in Alexandria.

abc: 5.0208 4.9002 8.1079
angles: 80.87 71.96 59.18
Positions (direct):
Ho (0.8693, 0.0000, 0.2614)
Ho (0.1307, 0.0000, 0.7386)
Cu (0.4689, 0.3194, 0.7428)
Cu (0.5311, 0.6806, 0.2572)
Cu (0.2117, 0.3194, 0.2572)
Cu (0.7883, 0.6806, 0.7428)
Ni (0.5000, 0.0000, 0.0000)
Ni (0.0000, 0.5000, 0.0000)
Ni (0.5000, 0.5000, 0.0000)
Ni (0.2500, 0.5000, 0.5000)
Ni (0.7500, 0.5000, 0.5000)

Output
Its space group is No. 69. The formation energy from the elements is -0.20 eV per atom.


Record 4
First-principles (PBE) data for a relaxed Ho3Cu2Ni crystal, as listed in Alexandria.

abc: 3.4105 3.4105 10.3377
angles: 90.00 90.00 90.00
Positions (direct):
Ho (0.0000, 0.0000, 0.0000)
Ho (0.0000, 0.0000, 0.6598)
Ho (0.0000, 0.0000, 0.3402)
Cu (0.5000, 0.5000, 0.8313)
Cu (0.5000, 0.5000, 0.1687)
Ni (0.5000, 0.5000, 0.5000)

Output
The energy above the most stable polymorph in this dataset comes out at 0.000 eV per atom. Its space group is No. 123. The formation energy from the elements is -0.32 eV per atom.


no.,final energy (eV per cell),M_tot (μB/f.u.)
1,-29.02,0.0
2,-15.45,0.0
3,-56.68,0.0
4,-29.60,0.0